Here is a geometry-optimized Tb6YSc structure from Alexandria via LeMat-Bulk. Energies are from PBE.

a = 4.9914 Å, b = 4.9914 Å, c = 9.9485 Å
α = 90.00°, β = 90.00°, γ = 90.00°
Last column: nearest neighbours and their distance in Å.
Space group P4/mmm (No. 123)
Inequivalent atoms, fractional coordinates:
Tb1 0.0000 0.0000 0.0000 (multiplicity 1)  8 Tb 3.48, 4 Sc 3.53
Tb2 0.0000 0.0000 0.5000 (multiplicity 1)  4 Y 3.53, 8 Tb 3.56
Tb3 0.0000 0.5000 0.2442 (multiplicity 4)  8 Tb 3.48-3.56, 2 Sc 3.48, 2 Y 3.56
Y1 0.5000 0.5000 0.5000 (multiplicity 1)  12 Tb 3.53-3.56
Sc1 0.5000 0.5000 0.0000 (multiplicity 1)  12 Tb 3.48-3.53

Summary:
Electronic total energy (eV per atom): -5.040
D(E_F) (states/eV per atom): 1.505
Relative energy among the computed polymorphs (eV per formula unit): 0.00
Energy of formation from the pure elements (meV/atom): 32.1